First-principles (PBE-GGA) data for a geometry-optimized AcAg3Sn3 structure, as listed in Alexandria.

* energy relative to the elements: -0.0868 eV per atom
* total energy: -50.56 eV/cell
* relative energy among the computed polymorphs: 0 kJ/mol of formula units

a b c (Å): 8.5661 8.5661 8.5661
angles (deg): 52.95 52.95 52.95
Last column: nearest neighbours and their distance in Å.
Fractional coordinates of all 14 atoms:
Ac: 0.1614 0.1614 0.1614  6 Sn 3.40-3.48, 6 Ag 3.50-3.75
Ac: 0.8386 0.8386 0.8386  6 Sn 3.40-3.48, 6 Ag 3.50-3.75
Ag: 0.0302 0.2144 0.6358  4 Sn 2.83-3.03, 2 Ag 2.86
Ag: 0.2144 0.6358 0.0302  4 Sn 2.83-3.03, 2 Ag 2.86
Ag: 0.3642 0.9698 0.7856  4 Sn 2.83-3.03, 2 Ag 2.86
Ag: 0.6358 0.0302 0.2144  4 Sn 2.83-3.03, 2 Ag 2.86
Ag: 0.7856 0.3642 0.9698  4 Sn 2.83-3.03, 2 Ag 2.86
Ag: 0.9698 0.7856 0.3642  4 Sn 2.83-3.03, 2 Ag 2.86
Sn: 0.1785 0.4462 0.6470  4 Ag 2.83-3.03, 2 Sn 3.11
Sn: 0.3530 0.8215 0.5538  4 Ag 2.83-3.03, 2 Sn 3.11
Sn: 0.4462 0.6470 0.1785  4 Ag 2.83-3.03, 2 Sn 3.11
Sn: 0.5538 0.3530 0.8215  4 Ag 2.83-3.03, 2 Sn 3.11
Sn: 0.6470 0.1785 0.4462  4 Ag 2.83-3.03, 2 Sn 3.11
Sn: 0.8215 0.5538 0.3530  4 Ag 2.83-3.03, 2 Sn 3.11